Record 1
Entry from Alexandria: a relaxed La2HRu crystal (GGA-PBE).

Computed properties:
Symmetry: R-3m
D(E_F) in states/eV/atom: 0.67
ΔE to the lowest computed polymorph in eV/atom: 0.066

abc: 4.1364 4.1364 6.5809
angles: 71.68 71.68 60.00
Closest atoms and distances in Å follow each position.
Element x y z (fractional)
Ru 0.0000 0.0000 0.0000  6 La 2.85
H 0.5000 0.5000 0.5000  6 La 2.83
La 0.2487 0.2487 0.2538  3 H 2.83, 3 Ru 2.85
La 0.7513 0.7513 0.7462  3 H 2.83, 3 Ru 2.85



Record 2
Entry from Alexandria: a relaxed Mg2Al3Pt crystal (GGA-PBE).

Computed properties:
Symmetry: C2/m
D(E_F) in states/eV/atom: 0.45
ΔH_f (0 K) in eV/atom: -0.4346

abc: 5.3118 5.3118 5.2415
angles: 90.42 120.67 119.30
Closest atoms and distances in Å follow each position.
Element x y z (fractional)
Mg 0.7477 0.3733 0.1209  9 Al 3.04-3.13, 3 Pt 3.10-3.13, 4 Mg 3.21-3.25
Mg 0.2523 0.6267 0.8791  9 Al 3.04-3.13, 3 Pt 3.10-3.13, 4 Mg 3.21-3.25
Al 0.5000 0.5000 0.5000  2 Pt 2.62, 4 Al 2.66-2.68
Al 0.0000 0.0000 0.5000  2 Pt 2.62, 4 Al 2.66-2.68
Al 0.5000 0.0000 0.5000  2 Pt 2.61, 4 Al 2.66
Pt 0.0000 0.0000 0.0000  6 Al 2.61-2.62



Record 3
Entry from Alexandria: a relaxed Tb4CeNdTm2 crystal (GGA-PBE).

Computed properties:
Symmetry: Pmmm
D(E_F) in states/eV/atom: 1.77
ΔH_f (0 K) in eV/atom: 0.0490

abc: 5.0357 5.0242 11.2313
angles: 63.41 90.00 90.00
Closest atoms and distances in Å follow each position.
Element x y z (fractional)
Tb 0.0000 0.7530 0.7470  2 Ce 3.53, 4 Tm 3.53-3.57, 4 Tb 3.56, 2 Nd 3.58
Tb 0.0000 0.2470 0.2530  2 Ce 3.53, 4 Tm 3.53-3.57, 4 Tb 3.56, 2 Nd 3.58
Tb 0.5000 0.7463 0.2536  4 Tm 3.53-3.58, 2 Ce 3.53, 4 Tb 3.56, 2 Nd 3.58
Tb 0.5000 0.2537 0.7464  4 Tm 3.53-3.58, 2 Ce 3.53, 4 Tb 3.56, 2 Nd 3.58
Ce 0.0000 0.5000 0.5000  8 Tb 3.53, 4 Tm 3.56
Nd 0.5000 0.5000 0.0000  4 Tm 3.56, 8 Tb 3.58
Tm 0.0000 0.0000 0.0000  4 Nd 3.56, 8 Tb 3.57-3.58
Tm 0.5000 0.0000 0.5000  8 Tb 3.53, 4 Ce 3.56



Record 4
Entry from Alexandria: a relaxed ZrSiNi2Mo crystal (GGA-PBE).

Computed properties:
Symmetry: P4/mmm
Uncorrected formation energy in eV/atom: 0.06
D(E_F) in states/eV/atom: 0.27

abc: 4.1950 4.1950 4.5794
angles: 90.00 90.00 90.00
Closest atoms and distances in Å follow each position.
Element x y z (fractional)
Ni 0.0000 0.5000 0.0000  2 Si 2.10
Ni 0.5000 0.0000 0.0000  2 Si 2.10
Mo 0.0000 0.0000 0.5000  2 Si 2.29
Si 0.0000 0.0000 0.0000  4 Ni 2.10, 2 Mo 2.29
Zr 0.5000 0.5000 0.5000  4 Mo 2.97, 8 Ni 3.11



Record 5
Entry from Alexandria: a relaxed LiYGa4Pd2 crystal (GGA-PBE).

Computed properties:
Symmetry: R-3m
D(E_F) in states/eV/atom: 0.37
ΔH_f (0 K) in eV/atom: -0.6199

abc: 4.3075 4.3075 8.8492
angles: 75.91 75.91 60.00
Closest atoms and distances in Å follow each position.
Element x y z (fractional)
Li 0.5000 0.5000 0.5000  8 Ga 2.61-2.66
Y 0.0000 0.0000 0.0000  8 Ga 2.98-3.29
Ga 0.3974 0.3974 0.8077  1 Li 2.61, 3 Pd 2.63
Ga 0.8708 0.8708 0.3875  4 Pd 2.62-2.72, 3 Li 2.66
Ga 0.1292 0.1292 0.6125  4 Pd 2.62-2.72, 3 Li 2.66
Ga 0.6026 0.6026 0.1923  1 Li 2.61, 3 Pd 2.63
Pd 0.7641 0.7641 0.7077  7 Ga 2.62-2.72
Pd 0.2359 0.2359 0.2923  7 Ga 2.62-2.72



Record 6
Entry from Alexandria: a relaxed CoCu3As crystal (GGA-PBE).

Computed properties:
Symmetry: Pm-3m
D(E_F) in states/eV/atom: 0.72
ΔH_f (0 K) in eV/atom: 0.8383
ΔE to the lowest computed polymorph in eV/atom: 0.000

abc: 4.4373 4.4373 4.4373
angles: 90.00 90.00 90.00
Closest atoms and distances in Å follow each position.
Element x y z (fractional)
As 0.0000 0.0000 0.0000  6 Cu 2.22
Co 0.5000 0.5000 0.5000  12 Cu 3.14
Cu 0.0000 0.5000 0.0000  2 As 2.22
Cu 0.0000 0.0000 0.5000  2 As 2.22
Cu 0.5000 0.0000 0.0000  2 As 2.22



Record 7
Entry from Alexandria: a relaxed Sc2Be3Co crystal (GGA-PBE).

Computed properties:
Symmetry: R-3m
D(E_F) in states/eV/atom: 0.82
ΔH_f (0 K) in eV/atom: -0.2016

abc: 4.7636 4.7636 4.7939
angles: 89.94 119.82 120.04
Closest atoms and distances in Å follow each position.
Element x y z (fractional)
Sc 0.7481 0.3742 0.1223  3 Co 2.79, 9 Be 2.80-2.81, 4 Sc 2.91-2.97
Sc 0.2519 0.6258 0.8777  3 Co 2.79, 9 Be 2.80-2.81, 4 Sc 2.91-2.97
Be 0.5000 0.5000 0.5000  4 Be 2.38, 2 Co 2.40
Be 0.0000 0.0000 0.5000  4 Be 2.38, 2 Co 2.40
Be 0.5000 0.0000 0.5000  4 Be 2.38, 2 Co 2.40
Co 0.0000 0.0000 0.0000  6 Be 2.40



Record 8
Entry from Alexandria: a relaxed Tb7Pr2Nd crystal (GGA-PBE).

Computed properties:
Symmetry: Immm
D(E_F) in states/eV/atom: 1.64
ΔH_f (0 K) in eV/atom: 0.0543
ΔE to the lowest computed polymorph in eV/atom: 0.000

abc: 5.5197 8.9890 9.5915
angles: 117.95 106.72 52.11
Closest atoms and distances in Å follow each position.
Element x y z (fractional)
Tb 0.9991 0.8008 0.6008  4 Pr 3.26-3.55, 1 Nd 3.38, 4 Tb 3.64
Tb 0.0009 0.1992 0.3992  4 Pr 3.26-3.55, 1 Nd 3.38, 4 Tb 3.64
Tb 0.7498 0.6438 0.7872  8 Tb 3.54-3.74, 3 Pr 3.63-3.76, 2 Nd 3.74
Tb 0.2502 0.3562 0.2128  8 Tb 3.54-3.74, 3 Pr 3.63-3.76, 2 Nd 3.74
Tb 0.7511 0.8556 0.2130  8 Tb 3.54-3.74, 3 Pr 3.63-3.76, 2 Nd 3.75
Tb 0.2489 0.1444 0.7870  8 Tb 3.54-3.74, 3 Pr 3.63-3.76, 2 Nd 3.75
Tb 0.5000 0.5000 0.0000  2 Pr 3.36, 2 Nd 3.55, 8 Tb 3.74
Pr 0.5001 0.6976 0.3960  9 Tb 3.26-3.63
Pr 0.4999 0.3024 0.6040  9 Tb 3.26-3.63
Nd 0.0000 0.0000 0.0000  12 Tb 3.38-3.75



Record 9
Entry from Alexandria: a relaxed Er8Zn2Tc crystal (GGA-PBE).

Computed properties:
Symmetry: Immm
D(E_F) in states/eV/atom: 0.76
ΔH_f (0 K) in eV/atom: -0.0369
ΔE to the lowest computed polymorph in eV/atom: 0.115

abc: 4.9444 8.2397 8.3777
angles: 119.46 107.17 90.00
Closest atoms and distances in Å follow each position.
Element x y z (fractional)
Er 0.6534 0.8791 0.3068  3 Zn 3.07-3.15, 1 Tc 3.09, 4 Er 3.28-3.37
Er 0.3467 0.5722 0.6934  3 Zn 3.07-3.15, 1 Tc 3.09, 4 Er 3.28-3.37
Er 0.1245 0.1246 0.2491  2 Tc 3.01, 2 Er 3.20
Er 0.9999 0.3279 0.9999  1 Er 2.83, 2 Zn 3.03
Er 0.8755 0.8754 0.7509  2 Tc 3.01, 2 Er 3.20
Er 0.6533 0.4278 0.3066  3 Zn 3.07-3.15, 1 Tc 3.09, 4 Er 3.28-3.37
Er 0.3466 0.1209 0.6932  3 Zn 3.07-3.15, 1 Tc 3.09, 4 Er 3.28-3.37
Er 0.0001 0.6721 0.0001  1 Er 2.83, 2 Zn 3.03
Zn 0.1959 0.6953 0.3908  8 Er 3.03-3.15
Zn 0.8041 0.3047 0.6092  8 Er 3.03-3.15
Tc 0.5000 0.0000 0.0000  8 Er 3.01-3.09



Record 10
Entry from Alexandria: a relaxed MnTeI2Cl crystal (GGA-PBE).

Computed properties:
Symmetry: P4/mmm
Uncorrected formation energy in eV/atom: 0.77
D(E_F) in states/eV/atom: 0.49
ΔE to the lowest computed polymorph in eV/atom: 0.642

abc: 5.5267 5.5267 5.8198
angles: 90.00 90.00 90.00
Closest atoms and distances in Å follow each position.
Element x y z (fractional)
I 0.0000 0.5000 0.0000  2 Cl 2.76
I 0.5000 0.0000 0.0000  2 Cl 2.76
Te 0.0000 0.0000 0.5000  2 Cl 2.91
Mn 0.5000 0.5000 0.5000  4 Te 3.91, 8 I 4.01
Cl 0.0000 0.0000 0.0000  4 I 2.76, 2 Te 2.91



Record 11
Entry from Alexandria: a relaxed Sc8Co2Ru crystal (GGA-PBE).

Computed properties:
Symmetry: Cm
D(E_F) in states/eV/atom: 1.01
ΔH_f (0 K) in eV/atom: -0.2084
ΔE to the lowest computed polymorph in eV/atom: 0.073

abc: 5.1960 6.9500 6.9500
angles: 112.34 99.69 99.69
Closest atoms and distances in Å follow each position.
Element x y z (fractional)
Sc 0.5936 0.3311 0.0732  2 Co 2.58-2.61
Sc 0.5936 0.0732 0.3311  2 Co 2.58-2.61
Sc 0.1859 0.3655 0.3655  1 Ru 2.68, 2 Co 2.73
Sc 0.9998 0.2233 0.7828  1 Ru 2.54, 2 Co 2.81
Sc 0.9998 0.7828 0.2233  1 Ru 2.54, 2 Co 2.81
Sc 0.8139 0.6408 0.6408  1 Ru 2.68, 2 Co 2.73
Sc 0.4060 0.9329 0.6748  2 Co 2.58-2.61
Sc 0.4060 0.6748 0.9329  2 Co 2.58-2.61
Co 0.5001 0.6909 0.3155  8 Sc 2.58-2.81
Co 0.5001 0.3155 0.6909  8 Sc 2.58-2.81
Ru 0.0008 0.0031 0.0031  4 Sc 2.54-2.68



Record 12
Entry from Alexandria: a relaxed HoEr2Tl2 crystal (GGA-PBE).

Computed properties:
Symmetry: P2_1/m
D(E_F) in states/eV/atom: 0.96
ΔH_f (0 K) in eV/atom: -0.2662
ΔE to the lowest computed polymorph in eV/atom: 0.004

abc: 3.7385 5.3492 14.0188
angles: 90.00 97.69 90.00
Closest atoms and distances in Å follow each position.
Element x y z (fractional)
Ho 0.8510 0.7500 0.6998  6 Tl 3.27-3.38, 4 Er 3.62-3.63
Ho 0.1490 0.2500 0.3002  6 Tl 3.27-3.38, 4 Er 3.62-3.63
Er 0.0491 0.7500 0.0984  8 Tl 3.25-3.31
Er 0.9509 0.2500 0.9016  8 Tl 3.25-3.31
Er 0.2383 0.7500 0.4761  2 Tl 3.19, 4 Er 3.33
Er 0.7617 0.2500 0.5239  2 Tl 3.19, 4 Er 3.33
Tl 0.6439 0.7500 0.2899  4 Er 3.19-3.25, 4 Ho 3.27
Tl 0.3561 0.2500 0.7101  4 Er 3.19-3.25, 4 Ho 3.27
Tl 0.4504 0.7500 0.9019  6 Er 3.26-3.31, 2 Ho 3.37-3.38
Tl 0.5496 0.2500 0.0981  6 Er 3.26-3.31, 2 Ho 3.37-3.38